# 1
A PBEsol-optimized structure of Al3Cu2Ni, computed with meta-GGA SCAN.

a b c (Å): 2.9313 4.0807 6.4361
angles (deg): 90.00 103.16 90.00
With the nearest neighbours (Å) after each atom.
Sites, in units of the cell vectors:
1 Al 0.6570 0.0000 0.3141  2 Ni 2.45, 4 Cu 2.52
2 Al 0.5000 0.5000 0.0000  4 Ni 2.51, 4 Cu 2.58
3 Al 0.3429 0.0000 0.6859  2 Ni 2.45, 4 Cu 2.52
4 Ni 0.0000 0.0000 0.0000  8 Al 2.45-2.51
5 Cu 0.1696 0.5000 0.3393  2 Cu 2.49, 6 Al 2.52-2.58
6 Cu 0.8304 0.5000 0.6607  2 Cu 2.49, 6 Al 2.52-2.58

## Properties
Total energy = -12.0789 eV/atom
N(E_F) = 0.154 states/eV per atom


# 2
A PBEsol-optimized structure of AlZn2CuNi, computed with meta-GGA SCAN.

a b c (Å): 4.2703 4.5443 4.5443
angles (deg): 90.00 90.00 90.00
With the nearest neighbours (Å) after each atom.
Sites, in units of the cell vectors:
1 Zn 0.0000 0.5000 0.0000  2 Al 2.27
2 Zn 0.0000 0.0000 0.5000  2 Al 2.27
3 Ni 0.5000 0.0000 0.0000  2 Al 2.14
4 Al 0.0000 0.0000 0.0000  2 Ni 2.14, 4 Zn 2.27
5 Cu 0.5000 0.5000 0.5000  8 Zn 3.12, 4 Ni 3.21

## Properties
Total energy = -12.3394 eV/atom
N(E_F) = 0.461 states/eV per atom


# 3
A PBEsol-optimized structure of AlCuO2, computed with meta-GGA SCAN.

a b c (Å): 2.8452 2.8452 11.2697
angles (deg): 90.00 90.00 120.00
With the nearest neighbours (Å) after each atom.
Sites, in units of the cell vectors:
1 O 0.3333 0.6667 0.0857  1 Cu 1.85, 3 Al 1.91
2 O 0.6667 0.3333 0.9143  1 Cu 1.85, 3 Al 1.91
3 O 0.3333 0.6667 0.4143  1 Cu 1.85, 3 Al 1.91
4 O 0.6667 0.3333 0.5857  1 Cu 1.85, 3 Al 1.91
5 Cu 0.3333 0.6667 0.2500  2 O 1.85
6 Cu 0.6667 0.3333 0.7500  2 O 1.85
7 Al 0.0000 0.0000 0.0000  6 O 1.91
8 Al 0.0000 0.0000 0.5000  6 O 1.91

## Properties
Raw formation energy = -2326 meV per atom
N(E_F) = 0.000 states/eV per atom


# 4
A PBEsol-optimized structure of AlCu2O, computed with meta-GGA SCAN.

a b c (Å): 4.0369 4.0369 4.0369
angles (deg): 60.00 60.00 60.00
With the nearest neighbours (Å) after each atom.
Sites, in units of the cell vectors:
1 Cu 0.2500 0.2500 0.2500  4 O 2.47, 4 Al 2.47
2 Cu 0.7500 0.7500 0.7500  4 O 2.47, 4 Al 2.47
3 Al 0.5000 0.5000 0.5000  8 Cu 2.47
4 O 0.0000 0.0000 0.0000  8 Cu 2.47

## Properties
Raw formation energy = 177 meV per atom
N(E_F) = 0.347 states/eV per atom


# 5
A PBEsol-optimized structure of RbAlCuP2O8, computed with meta-GGA SCAN.

a b c (Å): 5.0520 9.4064 14.0694
angles (deg): 90.00 90.00 100.03
With the nearest neighbours (Å) after each atom.
Sites, in units of the cell vectors:
1 O 0.4491 0.8127 0.4902  1 P 1.55
2 O 0.5985 0.4117 0.4063  1 P 1.55
3 O 0.2476 0.7081 0.1881  1 P 1.53
4 O 0.9065 0.0159 0.5849  1 P 1.58
5 O 0.4308 0.4689 0.8407  1 P 1.54
6 O 0.2403 0.0754 0.0794  1 P 1.53
7 O 0.4015 0.0883 0.9063  1 P 1.55
8 O 0.0032 0.3069 0.4539  1 P 1.55
9 O 0.9968 0.1931 0.9539  1 P 1.55
10 O 0.8409 0.0413 0.7580  1 P 1.54
11 O 0.5509 0.6873 0.9902  1 P 1.55
12 O 0.5509 0.1873 0.5098  1 P 1.55
13 O 0.1591 0.4587 0.2580  1 P 1.54
14 O 0.2476 0.2081 0.3119  1 P 1.53
15 O 0.0935 0.4841 0.0849  1 P 1.58
16 O 0.7597 0.9246 0.9206  1 P 1.53
17 O 0.9968 0.6931 0.5461  1 P 1.55
18 O 0.5692 0.0311 0.3407  1 P 1.54
19 O 0.2403 0.5754 0.4206  1 P 1.53
20 O 0.1591 0.9587 0.2420  1 P 1.54
21 O 0.7597 0.4246 0.5794  1 P 1.53
22 O 0.5985 0.9117 0.0937  1 P 1.55
23 O 0.5692 0.5311 0.1593  1 P 1.54
24 O 0.7524 0.7919 0.6881  1 P 1.53
25 O 0.7524 0.2919 0.8119  1 P 1.53
26 O 0.9065 0.5159 0.9151  1 P 1.58
27 O 0.4308 0.9689 0.6593  1 P 1.54
28 O 0.0935 0.9841 0.4151  1 P 1.58
29 O 0.4015 0.5883 0.5937  1 P 1.55
30 O 0.4491 0.3127 0.0098  1 P 1.55
31 O 0.8409 0.5413 0.7420  1 P 1.54
32 O 0.0032 0.8069 0.0461  1 P 1.55
33 Al 0.2513 0.8896 0.1299  5 O 1.80-1.90
34 Al 0.7487 0.1104 0.8701  5 O 1.80-1.90
35 Al 0.7487 0.6104 0.6299  5 O 1.80-1.90
36 Al 0.2513 0.3896 0.3701  5 O 1.80-1.90
37 P 0.7267 0.4501 0.8287  4 O 1.53-1.58
38 P 0.7255 0.3361 0.4878  4 O 1.53-1.55
39 P 0.2733 0.5499 0.1713  4 O 1.53-1.58
40 P 0.2745 0.6639 0.5122  4 O 1.53-1.55
41 P 0.7267 0.9501 0.6713  4 O 1.53-1.58
42 P 0.2733 0.0499 0.3287  4 O 1.53-1.58
43 P 0.7255 0.8361 0.0122  4 O 1.53-1.55
44 P 0.2745 0.1639 0.9878  4 O 1.53-1.55
45 Rb 0.7896 0.2144 0.1722  9 O 2.95-3.26
46 Rb 0.2104 0.7856 0.8278  9 O 2.95-3.26
47 Rb 0.2104 0.2856 0.6722  9 O 2.95-3.26
48 Rb 0.7896 0.7144 0.3278  9 O 2.95-3.26
49 Cu 0.2406 0.4510 0.9585  4 O 1.91-1.99
50 Cu 0.7594 0.0490 0.4585  4 O 1.91-1.99
51 Cu 0.2406 0.9510 0.5415  4 O 1.91-1.99
52 Cu 0.7594 0.5490 0.0415  4 O 1.91-1.99

## Properties
Raw formation energy = -2483 meV per atom
N(E_F) = 0.000 states/eV per atom


# 6
A PBEsol-optimized structure of Al4Cu13Si2Sb2O28, computed with meta-GGA SCAN.

a b c (Å): 5.3622 8.3369 12.0708
angles (deg): 89.72 73.79 80.89
With the nearest neighbours (Å) after each atom.
Sites, in units of the cell vectors:
1 O 0.8440 0.1430 0.5569  2 Al 1.75-1.76
2 O 0.1556 0.3705 0.1570  2 Cu 1.93-1.94, 1 Sb 2.01
3 O 0.2695 0.8896 0.1083  1 Si 1.66
4 O 0.7312 0.1104 0.8893  1 Si 1.65
5 O 0.0534 0.0937 0.3004  1 Al 1.76, 2 Cu 1.93-1.94
6 O 0.3974 0.1127 0.4476  2 Al 1.77-1.79
7 O 0.2685 0.3857 0.8462  3 Cu 1.96-2.12, 1 Sb 2.07
8 O 0.6978 0.3826 0.0166  1 Si 1.66
9 O 0.7323 0.6143 0.1515  3 Cu 1.96-2.11, 1 Sb 2.07
10 O 0.9478 0.9063 0.6974  1 Al 1.76, 2 Cu 1.93-1.94
11 O 0.1654 0.6294 0.2678  2 Cu 1.89-1.93, 1 Sb 2.01
12 O 0.3939 0.8958 0.8710  1 Si 1.65
13 O 0.0033 0.3928 0.4158  1 Al 1.81, 1 Cu 1.99
14 O 0.6064 0.1043 0.1265  1 Si 1.65
15 O 0.4093 0.3689 0.5863  1 Al 1.85, 1 Cu 2.00, 1 Sb 2.01
16 O 0.4087 0.6351 0.6989  2 Cu 1.89-2.05, 1 Sb 1.98
17 O 0.1577 0.8571 0.4409  2 Al 1.75-1.76
18 O 0.9099 0.8472 0.9943  1 Si 1.64
19 O 0.6996 0.9007 0.2907  1 Al 1.77, 2 Cu 1.90-1.93
20 O 0.8356 0.3707 0.7301  2 Cu 1.89-1.93, 1 Sb 2.01
21 O 0.0908 0.1530 0.0033  1 Si 1.64
22 O 0.5919 0.6314 0.4113  1 Al 1.86, 1 Cu 2.00, 1 Sb 2.01
23 O 0.8451 0.6296 0.8407  2 Cu 1.93-1.94, 1 Sb 2.01
24 O 0.9978 0.6074 0.5821  1 Al 1.81, 1 Cu 1.99
25 O 0.6046 0.8873 0.5498  2 Al 1.77-1.79
26 O 0.3021 0.0993 0.7065  1 Al 1.77, 2 Cu 1.90-1.93
27 O 0.3030 0.6174 0.9811  1 Si 1.66
28 O 0.5925 0.3650 0.2989  2 Cu 1.89-2.05, 1 Sb 1.98
29 Cu 0.8919 0.1411 0.7151  4 O 1.89-2.07
30 Cu 0.5680 0.5015 0.8509  4 O 1.93-2.01
31 Cu 0.0005 0.4999 0.9991  4 O 1.99-2.12
32 Cu 0.3410 0.8649 0.7100  4 O 1.89-2.08
33 Cu 0.6608 0.1351 0.2869  4 O 1.89-2.08
34 Cu 0.1087 0.8590 0.2830  4 O 1.89-2.07
35 Cu 0.3307 0.1481 0.8552  4 O 1.88-2.09
36 Cu 0.6688 0.8518 0.1422  4 O 1.89-2.10
37 Cu 0.3001 0.5044 0.4237  4 O 1.99-2.21
38 Cu 0.7008 0.4961 0.5740  4 O 1.99-2.21
39 Cu 0.1933 0.1369 0.1396  4 O 1.87-2.05
40 Cu 0.4329 0.4987 0.1468  4 O 1.93-2.01
41 Cu 0.8066 0.8632 0.8582  4 O 1.87-2.05
42 Si 0.7772 0.1816 0.0086  4 O 1.64-1.66
43 Si 0.2234 0.8185 0.9891  4 O 1.64-1.66
44 Al 0.4950 0.8557 0.4257  4 O 1.76-1.86
45 Al 0.5068 0.1447 0.5718  4 O 1.76-1.85
46 Al 0.0810 0.1754 0.4296  4 O 1.75-1.81
47 Al 0.9207 0.8249 0.5682  4 O 1.75-1.81
48 Sb 0.8691 0.5022 0.2819  6 O 1.98-2.09
49 Sb 0.1318 0.4979 0.7159  6 O 1.98-2.09

## Properties
Raw formation energy = -1659 meV per atom


# 7
A PBEsol-optimized structure of ScAl2CuO, computed with meta-GGA SCAN.

a b c (Å): 3.4880 4.9582 4.9582
angles (deg): 90.00 90.00 90.00
With the nearest neighbours (Å) after each atom.
Sites, in units of the cell vectors:
1 Sc 0.5000 0.5000 0.5000  8 Al 3.03
2 Cu 0.0000 0.0000 0.0000  2 O 1.74
3 Al 0.0000 0.0000 0.5000  2 Cu 2.48
4 Al 0.0000 0.5000 0.0000  2 Cu 2.48
5 O 0.5000 0.0000 0.0000  2 Cu 1.74

## Properties
Raw formation energy = -57 meV per atom
N(E_F) = 0.574 states/eV per atom


# 8
A PBEsol-optimized structure of AlCu2Os, computed with meta-GGA SCAN.

a b c (Å): 2.6671 2.6671 8.5249
angles (deg): 81.00 81.00 60.00
With the nearest neighbours (Å) after each atom.
Sites, in units of the cell vectors:
1 Os 0.5000 0.5000 0.5000  6 Cu 2.64, 6 Os 2.67
2 Cu 0.2521 0.2521 0.2436  3 Al 2.56, 3 Os 2.64, 6 Cu 2.67
3 Cu 0.7479 0.7479 0.7564  3 Al 2.56, 3 Os 2.64, 6 Cu 2.67
4 Al 0.0000 0.0000 0.0000  6 Cu 2.56, 6 Al 2.67

## Properties
Total energy = -27.4060 eV/atom
N(E_F) = 0.745 states/eV per atom


# 9
A PBEsol-optimized structure of Al2CuOs, computed with meta-GGA SCAN.

a b c (Å): 3.0154 4.1743 4.1743
angles (deg): 89.99 90.00 90.00
With the nearest neighbours (Å) after each atom.
Sites, in units of the cell vectors:
1 Cu 0.5000 0.0000 0.0000  8 Al 2.57
2 Al 0.0000 0.0000 0.5000  4 Os 2.57, 4 Cu 2.57
3 Al 0.0000 0.5000 0.0000  4 Cu 2.57, 4 Os 2.57
4 Os 0.5000 0.5000 0.5000  8 Al 2.57

## Properties
Total energy = -26.1851 eV/atom
N(E_F) = 0.315 states/eV per atom


# 10
A PBEsol-optimized structure of Al2CuOs, computed with meta-GGA SCAN.

a b c (Å): 3.1572 3.9614 4.9213
angles (deg): 113.73 108.71 90.00
With the nearest neighbours (Å) after each atom.
Sites, in units of the cell vectors:
1 Al 0.0044 0.0044 0.0088  4 Cu 2.53, 2 Os 2.62, 4 Al 2.75-2.79
2 Al 0.2372 0.7372 0.4744  2 Cu 2.51, 4 Os 2.54, 4 Al 2.75-2.79
3 Os 0.7527 0.2527 0.5055  6 Al 2.54-2.62, 2 Cu 2.66
4 Cu 0.5057 0.5057 0.0114  6 Al 2.51-2.53, 2 Os 2.66

## Properties
Total energy = -26.1312 eV/atom
N(E_F) = 0.166 states/eV per atom


# 11
A PBEsol-optimized structure of Al2CuOs, computed with meta-GGA SCAN.

a b c (Å): 3.2246 3.2246 5.2338
angles (deg): 90.00 90.00 90.00
With the nearest neighbours (Å) after each atom.
Sites, in units of the cell vectors:
1 Al 0.0000 0.0000 0.9757  4 Os 2.52, 2 Cu 2.59-2.64, 4 Al 2.76
2 Al 0.5000 0.5000 0.2729  4 Cu 2.53, 2 Os 2.61-2.63, 4 Al 2.76
3 Os 0.5000 0.5000 0.7713  6 Al 2.52-2.63, 4 Cu 2.74
4 Cu 0.0000 0.0000 0.4802  6 Al 2.53-2.64, 4 Os 2.74

## Properties
Total energy = -25.9223 eV/atom
N(E_F) = 0.426 states/eV per atom


# 12
A PBEsol-optimized structure of Al2CuOs, computed with meta-GGA SCAN.

a b c (Å): 3.1195 4.0155 4.8085
angles (deg): 110.19 108.93 90.00
With the nearest neighbours (Å) after each atom.
Sites, in units of the cell vectors:
1 Al 0.7605 0.2859 0.5209  3 Cu 2.54-2.75, 4 Os 2.54-2.55, 3 Al 2.77-2.79
2 Al 0.9935 0.9682 0.9870  4 Cu 2.53-2.55, 3 Os 2.59-2.70, 3 Al 2.77-2.79
3 Cu 0.4964 0.4679 0.9928  7 Al 2.53-2.75, 2 Os 2.68
4 Os 0.2496 0.7780 0.4993  7 Al 2.54-2.70, 2 Cu 2.68

## Properties
Total energy = -26.1323 eV/atom
N(E_F) = 0.196 states/eV per atom


The calculation returns the following mass density values, one per record and in order: 5.908 5.273 5.150 6.071 3.692 5.463 3.456 11.069 9.725 9.683 9.390 9.633 g/cm3.